Version i
An optimized crystal structure of ScTl2Cu2. Source: Alexandria via LeMat-Bulk, functional GGA-PBE.

Cell: 9.0369 9.0369 9.0369 Å, 158.18 158.18 31.06°
Atoms (fractional coordinates):
Sc  0.0000  0.0000  0.0000
Tl  0.3818  0.3818  0.0000
Tl  0.6182  0.6182  0.0000
Cu  0.2500  0.7500  0.5000
Cu  0.7500  0.2500  0.5000

Summary:
DOS(E_F): 2.14 states/eV/f.u.
Magnetization: 0.22 μB per formula unit

Version ii
An optimized crystal structure of ScTl2Cu2. Source: Alexandria via LeMat-Bulk, functional GGA-PBE.

Cell: 7.1190 7.1190 3.9633 Å, 90.00 90.00 90.00°
Atoms (fractional coordinates):
Sc  0.0000  0.0000  0.0000
Sc  0.5000  0.5000  0.0000
Tl  0.1852  0.3148  0.5000
Tl  0.3148  0.8148  0.5000
Tl  0.6852  0.1852  0.5000
Tl  0.8148  0.6852  0.5000
Cu  0.1200  0.6200  0.0000
Cu  0.3800  0.1200  0.0000
Cu  0.6200  0.8800  0.0000
Cu  0.8800  0.3800  0.0000

Summary:
DOS(E_F): 2.83 states/eV/f.u.
Magnetization: 0.00 μB per formula unit

The structure with the least stability is version i.

Version i
An optimized crystal structure of Sc3TlCu. Source: Alexandria via LeMat-Bulk, functional GGA-PBE.

Cell: 5.3558 5.3558 5.3558 Å, 90.00 90.00 90.00°
Atoms (fractional coordinates):
Sc  0.0000  0.0000  0.5000
Sc  0.0000  0.5000  0.0000
Sc  0.5000  0.0000  0.0000
Tl  0.0000  0.0000  0.0000
Cu  0.5000  0.5000  0.5000

Summary:
DOS(E_F): 10.10 states/eV/f.u.
Magnetization: 1.32 μB per formula unit

Version ii
An optimized crystal structure of Sc3TlCu. Source: Alexandria via LeMat-Bulk, functional GGA-PBE.

Cell: 4.9585 4.9585 4.9585 Å, 90.00 90.00 90.00°
Atoms (fractional coordinates):
Sc  0.0000  0.0000  0.5000
Sc  0.0000  0.5000  0.0000
Sc  0.5000  0.0000  0.0000
Tl  0.5000  0.5000  0.5000
Cu  0.0000  0.0000  0.0000

Summary:
DOS(E_F): 8.38 states/eV/f.u.
Magnetization: 0.00 μB per formula unit

Version iii
An optimized crystal structure of Sc3TlCu. Source: Alexandria via LeMat-Bulk, functional GGA-PBE.

Cell: 7.3500 7.3500 4.8247 Å, 90.00 90.00 120.00°
Atoms (fractional coordinates):
Sc  0.1872  0.3744  0.2500
Sc  0.1872  0.8128  0.2500
Sc  0.3744  0.1872  0.7500
Sc  0.6256  0.8128  0.2500
Sc  0.8128  0.1872  0.7500
Sc  0.8128  0.6256  0.7500
Tl  0.3333  0.6667  0.7500
Tl  0.6667  0.3333  0.2500
Cu  0.0000  0.0000  0.0000
Cu  0.0000  0.0000  0.5000

Summary:
DOS(E_F): 5.73 states/eV/f.u.
Magnetization: 0.00 μB per formula unit

The structure with the least stability is version i.

Version i
An optimized crystal structure of Sc8TlCu2. Source: Alexandria via LeMat-Bulk, functional GGA-PBE.

Cell: 7.5768 7.5768 4.9142 Å, 98.63 98.63 114.13°
Atoms (fractional coordinates):
Sc  0.0788  0.3274  0.5895
Sc  0.2425  0.7575  0.0000
Sc  0.3274  0.0788  0.5895
Sc  0.3945  0.3945  0.1963
Sc  0.6055  0.6055  0.8037
Sc  0.6726  0.9212  0.4105
Sc  0.7575  0.2425  0.0000
Sc  0.9212  0.6726  0.4105
Tl  0.0000  0.0000  0.0000
Cu  0.3104  0.6896  0.5000
Cu  0.6896  0.3104  0.5000

Summary:
DOS(E_F): 15.92 states/eV/f.u.
Magnetization: 2.89 μB per formula unit

Version ii
An optimized crystal structure of Sc8TlCu2. Source: Alexandria via LeMat-Bulk, functional GGA-PBE.

Cell: 8.4655 8.4655 8.8816 Å, 99.44 99.44 22.95°
Atoms (fractional coordinates):
Sc  0.0251  0.0251  0.1808
Sc  0.1369  0.1369  0.6811
Sc  0.3210  0.3210  0.6084
Sc  0.3540  0.3540  0.0021
Sc  0.6460  0.6460  0.9979
Sc  0.6790  0.6790  0.3916
Sc  0.8631  0.8631  0.3189
Sc  0.9749  0.9749  0.8192
Tl  0.5000  0.5000  0.5000
Cu  0.2388  0.2388  0.2088
Cu  0.7612  0.7612  0.7912

Summary:
DOS(E_F): 14.54 states/eV/f.u.
Magnetization: 0.00 μB per formula unit

The structure with the least stability is version i.

Version i
An optimized crystal structure of TmScZnCu. Source: Alexandria via LeMat-Bulk, functional GGA-PBE.

Cell: 4.7972 4.7972 4.7972 Å, 60.00 60.00 60.00°
Atoms (fractional coordinates):
Tm  0.0000  0.0000  0.0000
Sc  0.5000  0.5000  0.5000
Zn  0.2500  0.2500  0.2500
Cu  0.7500  0.7500  0.7500

Summary:
DOS(E_F): 4.20 states/eV/f.u.
Magnetization: 0.00 μB per formula unit

Version ii
An optimized crystal structure of TmScZnCu. Source: Alexandria via LeMat-Bulk, functional GGA-PBE.

Cell: 3.4035 3.4035 6.7198 Å, 90.00 90.00 90.00°
Atoms (fractional coordinates):
Tm  0.0000  0.0000  0.0000
Sc  0.0000  0.0000  0.4865
Zn  0.5000  0.5000  0.7224
Cu  0.5000  0.5000  0.2639

Summary:
DOS(E_F): 2.75 states/eV/f.u.
Magnetization: 0.00 μB per formula unit

The structure with the least stability is version i.

Version i
An optimized crystal structure of ScV2Cu2. Source: Alexandria via LeMat-Bulk, functional GGA-PBE.

Cell: 6.0623 6.0623 6.0623 Å, 143.09 143.09 53.19°
Atoms (fractional coordinates):
Sc  0.0000  0.0000  0.0000
V  0.3985  0.3985  0.0000
V  0.6016  0.6016  0.0000
Cu  0.2500  0.7500  0.5000
Cu  0.7500  0.2500  0.5000

Summary:
DOS(E_F): 3.53 states/eV/f.u.
Magnetization: 2.87 μB per formula unit

Version ii
An optimized crystal structure of ScV2Cu2. Source: Alexandria via LeMat-Bulk, functional GGA-PBE.

Cell: 6.7511 6.7511 6.7511 Å, 150.05 150.05 42.86°
Atoms (fractional coordinates):
Sc  0.0000  0.0000  0.0000
V  0.2500  0.7500  0.5000
V  0.7500  0.2500  0.5000
Cu  0.4036  0.4036  0.0000
Cu  0.5964  0.5964  0.0000

Summary:
DOS(E_F): 7.44 states/eV/f.u.
Magnetization: 0.00 μB per formula unit

Version iii
An optimized crystal structure of ScV2Cu2. Source: Alexandria via LeMat-Bulk, functional GGA-PBE.

Cell: 7.4872 7.4872 2.6383 Å, 90.00 90.00 90.00°
Atoms (fractional coordinates):
Sc  0.0000  0.0000  0.0000
Sc  0.5000  0.5000  0.0000
V  0.1086  0.3914  0.0000
V  0.3914  0.8914  0.0000
V  0.6086  0.1086  0.0000
V  0.8914  0.6086  0.0000
Cu  0.1861  0.6861  0.5000
Cu  0.3139  0.1861  0.5000
Cu  0.6861  0.8139  0.5000
Cu  0.8139  0.3139  0.5000

Summary:
DOS(E_F): 6.62 states/eV/f.u.
Magnetization: 0.59 μB per formula unit

Version iv
An optimized crystal structure of ScV2Cu2. Source: Alexandria via LeMat-Bulk, functional GGA-PBE.

Cell: 7.2369 7.2369 2.8300 Å, 90.00 90.00 90.00°
Atoms (fractional coordinates):
Sc  0.0000  0.0000  0.0000
Sc  0.5000  0.5000  0.0000
V  0.1725  0.3275  0.5000
V  0.3275  0.8275  0.5000
V  0.6725  0.1725  0.5000
V  0.8275  0.6725  0.5000
Cu  0.1219  0.6219  0.0000
Cu  0.3781  0.1219  0.0000
Cu  0.6219  0.8781  0.0000
Cu  0.8781  0.3781  0.0000

Summary:
DOS(E_F): 6.80 states/eV/f.u.
Magnetization: 0.00 μB per formula unit

The structure with the least stability is version i.

Version i
An optimized crystal structure of Sc2V2Cu. Source: Alexandria via LeMat-Bulk, functional GGA-PBE.

Cell: 6.8614 6.8614 6.8614 Å, 147.50 147.50 46.63°
Atoms (fractional coordinates):
Sc  0.2500  0.7500  0.5000
Sc  0.7500  0.2500  0.5000
V  0.0736  0.0736  0.0000
V  0.9264  0.9264  0.0000
Cu  0.5000  0.5000  0.0000

Summary:
DOS(E_F): 5.12 states/eV/f.u.
Magnetization: 0.00 μB per formula unit

Version ii
An optimized crystal structure of Sc2V2Cu. Source: Alexandria via LeMat-Bulk, functional GGA-PBE.

Cell: 6.4316 6.4316 4.3046 Å, 90.00 90.00 90.00°
Atoms (fractional coordinates):
Sc  0.1733  0.3267  0.0000
Sc  0.3267  0.8267  0.0000
Sc  0.6733  0.1733  0.0000
Sc  0.8267  0.6733  0.0000
V  0.1236  0.6236  0.5000
V  0.3764  0.1236  0.5000
V  0.6236  0.8764  0.5000
V  0.8764  0.3764  0.5000
Cu  0.0000  0.0000  0.5000
Cu  0.5000  0.5000  0.5000

Summary:
DOS(E_F): 6.16 states/eV/f.u.
Magnetization: 2.26 μB per formula unit

The structure with the least stability is version i.